The following is a DFT calculation (PBE) of K2Ag2PdAu5 after structural relaxation.

## Properties
SG: P4/mbm (127)
E_form, meV per atom: -128

Lattice parameters (Å, degrees): 3.042 12.061 12.061 90.00 90.00 90.00
Sites, in units of the cell vectors:
Ag: 0.000 0.363 0.137
Ag: 0.000 0.863 0.363
Ag: 0.000 0.137 0.637
Ag: 0.000 0.637 0.863
Au: 0.500 0.561 0.681
Au: 0.500 0.681 0.439
Au: 0.500 0.000 0.500
Au: 0.500 0.181 0.061
Au: 0.500 0.819 0.939
Au: 0.500 0.061 0.819
Au: 0.500 0.319 0.561
Au: 0.500 0.939 0.181
Au: 0.500 0.439 0.319
Au: 0.500 0.500 0.000
K: 0.000 0.673 0.173
K: 0.000 0.327 0.827
K: 0.000 0.173 0.327
K: 0.000 0.827 0.673
Pd: 0.000 0.500 0.500
Pd: 0.000 0.000 0.000

The following is a DFT calculation (PBE) of K2RbAgAu after structural relaxation.

## Properties
SG: P4/mmm (123)
E_form, meV per atom: 33

Lattice parameters (Å, degrees): 6.290 6.290 6.569 90.00 90.00 90.00
Sites, in units of the cell vectors:
Rb: 0.000 0.000 0.500
Ag: 0.500 0.500 0.500
Au: 0.000 0.000 0.000
K: 0.500 0.000 0.000
K: 0.000 0.500 0.000

The following is a DFT calculation (PBE) of K2RbAgAu after structural relaxation.

## Properties
SG: P4/mmm (123)
E_form, meV per atom: 15

Lattice parameters (Å, degrees): 6.446 6.446 5.386 90.00 90.00 90.00
Sites, in units of the cell vectors:
K: 0.500 0.000 0.000
K: 0.000 0.500 0.000
Ag: 0.000 0.000 0.000
Au: 0.000 0.000 0.500
Rb: 0.500 0.500 0.500

The following is a DFT calculation (PBE) of K5Rb2AgAu2 after structural relaxation.

## Properties
SG: P4/mbm (127)
E_form, meV per atom: -90

Lattice parameters (Å, degrees): 4.850 13.763 13.763 90.00 90.00 90.00
Sites, in units of the cell vectors:
Au: 0.000 0.127 0.627
Au: 0.000 0.627 0.873
Au: 0.000 0.873 0.373
Au: 0.000 0.373 0.127
K: 0.500 0.000 0.500
K: 0.500 0.799 0.933
K: 0.500 0.933 0.201
K: 0.500 0.067 0.799
K: 0.500 0.567 0.701
K: 0.500 0.701 0.433
K: 0.500 0.299 0.567
K: 0.500 0.500 0.000
K: 0.500 0.201 0.067
K: 0.500 0.433 0.299
Rb: 0.000 0.325 0.825
Rb: 0.000 0.175 0.325
Rb: 0.000 0.675 0.175
Rb: 0.000 0.825 0.675
Ag: 0.000 0.000 0.000
Ag: 0.000 0.500 0.500

The following is a DFT calculation (PBE) of K2RbAgAu after structural relaxation.

## Properties
SG: P4/mmm (123)
E_form, meV per atom: -26

Lattice parameters (Å, degrees): 6.436 6.436 5.435 90.00 90.00 90.00
Sites, in units of the cell vectors:
K: 0.000 0.500 0.000
K: 0.500 0.000 0.000
Ag: 0.000 0.000 0.500
Rb: 0.500 0.500 0.500
Au: 0.000 0.000 0.000

The following is a DFT calculation (PBE) of K2Rb4AgAu2 after structural relaxation.

## Properties
SG: P-1 (2)
E_form, meV per atom: -105

Lattice parameters (Å, degrees): 6.650 8.171 11.368 116.26 97.52 109.83
Sites, in units of the cell vectors:
Rb: 0.421 0.678 0.905
Rb: 0.060 0.159 0.344
Rb: 0.940 0.841 0.656
Rb: 0.579 0.322 0.095
Au: 0.972 0.673 0.021
Au: 0.028 0.327 0.979
K: 0.698 0.279 0.703
K: 0.302 0.721 0.297
Ag: 0.000 0.000 0.000

The following is a DFT calculation (PBE) of KRbAgAu after structural relaxation.

## Properties
SG: F-43m (216)
E_form, meV per atom: -81

Lattice parameters (Å, degrees): 5.852 5.852 5.852 60.00 60.00 60.00
Sites, in units of the cell vectors:
K: 0.000 0.000 0.000
Au: 0.750 0.750 0.750
Rb: 0.500 0.500 0.500
Ag: 0.250 0.250 0.250

The following is a DFT calculation (PBE) of K3Rb3AgAu2 after structural relaxation.

## Properties
SG: P-62m (189)
E_form, meV per atom: -78

Lattice parameters (Å, degrees): 5.303 9.341 9.341 120.00 90.00 90.00
Sites, in units of the cell vectors:
K: 0.000 0.416 0.000
K: 0.000 0.000 0.416
K: 0.000 0.584 0.584
Au: 0.500 0.667 0.333
Au: 0.500 0.333 0.667
Rb: 0.500 0.265 0.265
Rb: 0.500 0.000 0.735
Rb: 0.500 0.735 0.000
Ag: 0.000 0.000 0.000

Calculated total moment, 0.00; 0.00; 0.00; 0.00; 0.00; 0.00; 0.00; 0.00 μB per formula unit (same order as the records).